VASP calculation (PBEsol) on a relaxed structure of KRh2Cl.

Computed properties:
Formation energy from raw total energies (eV/atom): 1.064
SG: Fm-3m, No. 225
Offset from the most stable computed form (meV/atom): 542.7

Structure (POSCAR):
```
KRh2Cl
1.0
0.000 3.242 3.242
3.242 0.000 3.242
3.242 3.242 0.000
K Rh Cl
1 2 1
Direct
0.000 0.000 0.000
0.250 0.250 0.250
0.750 0.750 0.750
0.500 0.500 0.500
```